Record 1
Material: RbLi4Ta2
Method: DFT, PBE
State: relaxed

Cell lengths 5.5128, 5.5128, 14.7080 Å; angles 90.00, 90.00, 90.00 degrees
Closest atoms and distances in Å follow each position.
Positions (direct):
Rb1 0.0000 0.0000 0.0000  4 Li 2.76
Rb2 0.5000 0.5000 0.5000  4 Li 2.76
Li1 0.0000 0.0000 0.2274  1 Ta 2.88
Li2 0.0000 0.0000 0.7726  1 Ta 2.88
Li3 0.0000 0.5000 0.0000  2 Rb 2.76, 4 Ta 2.98
Li4 0.0000 0.5000 0.5000  2 Rb 2.76, 4 Ta 2.98
Li5 0.5000 0.0000 0.0000  2 Rb 2.76, 4 Ta 2.98
Li6 0.5000 0.0000 0.5000  2 Rb 2.76, 4 Ta 2.98
Li7 0.5000 0.5000 0.2726  1 Ta 2.88
Li8 0.5000 0.5000 0.7274  1 Ta 2.88
Ta1 0.0000 0.0000 0.4233  1 Ta 2.26
Ta2 0.0000 0.0000 0.5767  1 Ta 2.26
Ta3 0.5000 0.5000 0.0767  1 Ta 2.26
Ta4 0.5000 0.5000 0.9233  1 Ta 2.26

Properties
**ΔE_f**: 8.8 eV per formula unit
**Symmetry**: I4/mmm (139)
**VASP energy**: -47.14 eV for the cell shown


Record 2
Material: YCo2Ru2
Method: DFT, PBE
State: relaxed

Cell lengths 3.9429, 3.9429, 10.2150 Å; angles 90.00, 90.00, 90.00 degrees
Closest atoms and distances in Å follow each position.
Positions (direct):
Y1 0.0000 0.0000 0.0000  8 Co 3.00, 8 Ru 3.23
Y2 0.5000 0.5000 0.5000  8 Co 3.00, 8 Ru 3.23
Co1 0.0000 0.0000 0.3923  1 Co 2.20, 4 Ru 2.45
Co2 0.0000 0.0000 0.6077  1 Co 2.20, 4 Ru 2.45
Co3 0.5000 0.5000 0.1077  1 Co 2.20, 4 Ru 2.45
Co4 0.5000 0.5000 0.8923  1 Co 2.20, 4 Ru 2.45
Ru1 0.0000 0.5000 0.2500  4 Co 2.45
Ru2 0.0000 0.5000 0.7500  4 Co 2.45
Ru3 0.5000 0.0000 0.2500  4 Co 2.45
Ru4 0.5000 0.0000 0.7500  4 Co 2.45

Properties
**ΔE_f**: 0.1 eV per formula unit
**Symmetry**: I4/mmm (139)
**Excess energy over the best structure of this formula in the dataset**: 0.0 meV/atom
**VASP energy**: -78.34 eV for the cell shown